[1]
Here is a relaxed HfBRh crystal from the Alexandria database. Energies are from PBE.

Values from the calculation:
Fermi-level density of states, states/eV/cell: 3.52
M_tot, μB/f.u.: 0.0
DFT total energy, eV/atom: -8.51

Lattice parameters (Å, degrees): 4.777 4.777 4.041 83.63 83.63 107.72
Atoms (fractional coordinates):
B 0.867 0.867 0.904
B 0.133 0.133 0.096
Hf 0.699 0.301 0.000
Hf 0.301 0.699 0.000
Rh 0.764 0.764 0.438
Rh 0.236 0.236 0.562

***

[2]
Here is a relaxed HoGa2Pd4 crystal from the Alexandria database. Energies are from PBE.

Values from the calculation:
Fermi-level density of states, states/eV/cell: 11.79
M_tot, μB/f.u.: 0.0
Relative energy among the computed polymorphs, meV/atom: 0
DFT total energy, eV/atom: -5.25

Lattice parameters (Å, degrees): 4.405 5.706 19.074 90.00 90.00 90.00
Atoms (fractional coordinates):
Pd 0.250 0.244 0.679
Pd 0.750 0.756 0.321
Pd 0.750 0.744 0.821
Pd 0.250 0.256 0.179
Pd 0.250 0.716 0.678
Pd 0.750 0.284 0.322
Pd 0.750 0.216 0.822
Pd 0.250 0.784 0.178
Pd 0.250 0.170 0.527
Pd 0.750 0.830 0.473
Pd 0.750 0.670 0.973
Pd 0.250 0.330 0.027
Pd 0.250 0.519 0.414
Pd 0.750 0.481 0.586
Pd 0.750 0.019 0.086
Pd 0.250 0.981 0.914
Ho 0.750 0.987 0.622
Ho 0.250 0.013 0.378
Ho 0.250 0.487 0.878
Ho 0.750 0.513 0.122
Ga 0.250 0.686 0.540
Ga 0.750 0.314 0.460
Ga 0.750 0.186 0.960
Ga 0.250 0.814 0.040
Ga 0.250 0.981 0.782
Ga 0.750 0.019 0.218
Ga 0.750 0.481 0.718
Ga 0.250 0.519 0.282

***

[3]
Here is a relaxed TePRuN2 crystal from the Alexandria database. Energies are from PBE.

Values from the calculation:
Fermi-level density of states, states/eV/cell: 5.19
Raw formation energy, eV per formula unit: 4.84
M_tot, μB/f.u.: 0.5
Relative energy among the computed polymorphs, meV/atom: 0
DFT total energy, eV/atom: -5.93

Lattice parameters (Å, degrees): 3.795 3.795 5.917 90.00 90.00 90.00
Each line ends with the local moment (μB).
Atoms (fractional coordinates):
Ru 0.000 0.000 0.000  -0.02
N 0.000 0.500 0.000  0.14
N 0.500 0.000 0.000  0.14
Te 0.000 0.000 0.500  0.01
P 0.500 0.500 0.500  0.07

***

[4]
Here is a relaxed SrTaMn2 crystal from the Alexandria database. Energies are from PBE.

Values from the calculation:
Fermi-level density of states, states/eV/cell: 5.83
M_tot, μB/f.u.: 4.7
Relative energy among the computed polymorphs, meV/atom: 424
DFT total energy, eV/atom: -7.17

Lattice parameters (Å, degrees): 4.827 4.827 4.827 60.00 60.00 60.00
Each line ends with the local moment (μB).
Atoms (fractional coordinates):
Sr 0.000 0.000 0.000  0.04
Mn 0.250 0.250 0.250  -3.23
Mn 0.750 0.750 0.750  -3.23
Ta 0.500 0.500 0.500  1.28